1.
VASP calculation (PBE) on a geometry-optimized Pm3Mg structure.

Cell and atoms, written as extended XYZ:
```
4
Lattice="3.454 0.000 0.000 0.000 3.455 0.000 0.000 0.000 11.079" Properties=species:S:1:pos:R:3 pbc="T T T"
Pm 0.000 0.000 0.000
Pm 0.000 1.728 5.297
Pm 1.727 1.728 8.440
Mg 1.727 0.000 2.914
```

## Properties
ΔH_f (0 K): 0.178 eV/atom
total magnetization: 0.00 μB/cell
offset from the most stable computed form: 196 meV/atom
SG: Pmm2


2.
VASP calculation (PBE) on a geometry-optimized Pm5Mg structure.

Cell and atoms, written as extended XYZ:
```
6
Lattice="5.811 0.000 0.000 0.000 1.853 9.160 0.000 -1.853 9.160" Properties=species:S:1:pos:R:3 pbc="T T T"
Pm 0.000 0.000 0.000
Pm 0.000 0.000 5.958
Pm 2.905 0.000 3.725
Pm 2.905 0.000 9.971
Pm 2.905 0.000 15.983
Mg 0.000 0.000 12.114
```

## Properties
ΔH_f (0 K): 0.018 eV/atom
total magnetization: 0.00 μB/cell
offset from the most stable computed form: 41 meV/atom
SG: Amm2


Repeat the second record exactly.
VASP calculation (PBE) on a geometry-optimized Pm5Mg structure.

Cell and atoms, written as extended XYZ:
```
6
Lattice="5.811 0.000 0.000 0.000 1.853 9.160 0.000 -1.853 9.160" Properties=species:S:1:pos:R:3 pbc="T T T"
Pm 0.000 0.000 0.000
Pm 0.000 0.000 5.958
Pm 2.905 0.000 3.725
Pm 2.905 0.000 9.971
Pm 2.905 0.000 15.983
Mg 0.000 0.000 12.114
```

## Properties
ΔH_f (0 K): 0.018 eV/atom
total magnetization: 0.00 μB/cell
offset from the most stable computed form: 41 meV/atom
SG: Amm2